Entry 1:
# Sr3TlAu, relaxed, DFT GGA-PBE
# - Total energy: -2.459 eV/atom
# - Calculated formation energy: -0.321 eV/atom
# - Offset from the most stable computed form: 169 meV per atom
# - N(E_F): 5.690 states/eV/f.u.
data_Sr3TlAu
_chemical_formula_sum 'Sr3 Tl1 Au1'
_cell_length_a 6.036
_cell_length_b 6.036
_cell_length_c 6.036
_cell_angle_alpha 90.00
_cell_angle_beta 90.00
_cell_angle_gamma 90.00
_space_group_name_H-M_alt 'P m -3 m'
_space_group_IT_number 221
_space_group_name_Hall '-P 4 2 3'
loop_
_atom_site_label
_atom_site_type_symbol
_atom_site_fract_x
_atom_site_fract_y
_atom_site_fract_z
_atom_site_occupancy
Sr1 Sr 0.000 0.000 0.500 1
Tl1 Tl 0.500 0.500 0.500 1
Au1 Au 0.000 0.000 0.000 1


Entry 2:
# Sr2Tl2Au, relaxed, DFT GGA-PBE
# - Total energy: -2.542 eV/atom
# - Calculated formation energy: -0.267 eV/atom
# - Offset from the most stable computed form: 212 meV per atom
# - N(E_F): 4.043 states/eV/f.u.
data_Sr2Tl2Au
_chemical_formula_sum 'Sr4 Tl4 Au2'
_cell_length_a 4.249
_cell_length_b 4.249
_cell_length_c 19.148
_cell_angle_alpha 90.00
_cell_angle_beta 90.00
_cell_angle_gamma 90.00
_space_group_name_H-M_alt 'I 4/m m m'
_space_group_IT_number 139
_space_group_name_Hall '-I 4 2'
loop_
_atom_site_label
_atom_site_type_symbol
_atom_site_fract_x
_atom_site_fract_y
_atom_site_fract_z
_atom_site_occupancy
Sr1 Sr 0.000 0.000 0.094 1
Tl1 Tl 0.000 0.500 0.250 1
Au1 Au 0.000 0.000 0.500 1


Entry 3:
# Sr2Tl2Au, relaxed, DFT GGA-PBE
# - Total energy: -2.620 eV/atom
# - Calculated formation energy: -0.346 eV/atom
# - Offset from the most stable computed form: 134 meV per atom
# - N(E_F): 2.181 states/eV/f.u.
data_Sr2Tl2Au
_chemical_formula_sum 'Sr4 Tl4 Au2'
_cell_length_a 8.032
_cell_length_b 8.032
_cell_length_c 4.955
_cell_angle_alpha 90.00
_cell_angle_beta 90.00
_cell_angle_gamma 90.00
_space_group_name_H-M_alt 'P 4/m b m'
_space_group_IT_number 127
_space_group_name_Hall '-P 4 2ab'
loop_
_atom_site_label
_atom_site_type_symbol
_atom_site_fract_x
_atom_site_fract_y
_atom_site_fract_z
_atom_site_occupancy
Sr1 Sr 0.170 0.330 0.000 1
Tl1 Tl 0.137 0.637 0.500 1
Au1 Au 0.000 0.000 0.500 1